# 1
Here is crystalline Ti12AlGa3 at its relaxed geometry from Alexandria. Energies are from PBE.

Space-group type: P4/mmm (123)
Formation enthalpy at 0 K: -0.30 eV per atom

Cell lengths 4.025, 4.025, 16.102 Å; angles 90.00, 90.00, 90.00 degrees
Element x y z (fractional)
Ti1 0.000 0.000 0.000
Ti2 0.000 0.000 0.249
Ti3 0.000 0.000 0.500
Ti4 0.000 0.000 0.751
Ti5 0.000 0.500 0.125
Ti6 0.000 0.500 0.374
Ti7 0.000 0.500 0.626
Ti8 0.000 0.500 0.875
Ti9 0.500 0.000 0.125
Ti10 0.500 0.000 0.374
Ti11 0.500 0.000 0.626
Ti12 0.500 0.000 0.875
Al1 0.500 0.500 0.500
Ga1 0.500 0.500 0.000
Ga2 0.500 0.500 0.249
Ga3 0.500 0.500 0.751

# 2
Here is crystalline AcAl8Pd2 at its relaxed geometry from Alexandria. Energies are from PBE.

Space-group type: P4/mmm (123)
Formation enthalpy at 0 K: -0.04 eV per atom

Cell lengths 5.685, 5.685, 8.636 Å; angles 90.00, 90.00, 90.00 degrees
Element x y z (fractional)
Ac1 0.000 0.000 0.000
Al1 0.251 0.251 0.317
Al2 0.251 0.251 0.683
Al3 0.251 0.749 0.317
Al4 0.251 0.749 0.683
Al5 0.749 0.251 0.317
Al6 0.749 0.251 0.683
Al7 0.749 0.749 0.317
Al8 0.749 0.749 0.683
Pd1 0.000 0.500 0.500
Pd2 0.500 0.000 0.500

Q: Which of these has the highest formation enthalpy at 0 K?
A: AcAl8Pd2

Q: What is the formula in the second record?
A: AcAl8Pd2

Please write out number 1 again, unchanged.
Here is crystalline Ti12AlGa3 at its relaxed geometry from Alexandria. Energies are from PBE.

Space-group type: P4/mmm (123)
Formation enthalpy at 0 K: -0.30 eV per atom

Cell lengths 4.025, 4.025, 16.102 Å; angles 90.00, 90.00, 90.00 degrees
Element x y z (fractional)
Ti1 0.000 0.000 0.000
Ti2 0.000 0.000 0.249
Ti3 0.000 0.000 0.500
Ti4 0.000 0.000 0.751
Ti5 0.000 0.500 0.125
Ti6 0.000 0.500 0.374
Ti7 0.000 0.500 0.626
Ti8 0.000 0.500 0.875
Ti9 0.500 0.000 0.125
Ti10 0.500 0.000 0.374
Ti11 0.500 0.000 0.626
Ti12 0.500 0.000 0.875
Al1 0.500 0.500 0.500
Ga1 0.500 0.500 0.000
Ga2 0.500 0.500 0.249
Ga3 0.500 0.500 0.751

Q: Number 1 is which compound?
A: Ti12AlGa3